The following is a DFT calculation (SCAN) of a PBEsol-optimized structure of Li2RuSe.

The structure in CIF format:
```
data_Li2RuSe
_symmetry_space_group_name_H-M 'P 4/m m m'
_symmetry_Int_Tables_number 123
_symmetry_space_group_name_Hall '-P 4 2'
_cell_length_a 2.657
_cell_length_b 2.657
_cell_length_c 8.291
_cell_angle_alpha 90.00
_cell_angle_beta 90.00
_cell_angle_gamma 90.00
loop_
_atom_site_label
_atom_site_type_symbol
_atom_site_fract_x
_atom_site_fract_y
_atom_site_fract_z
Li1 Li 0.000 0.000 0.245
Ru1 Ru 0.500 0.500 0.000
Se1 Se 0.500 0.500 0.500
```

## Properties
* total energy: -60.0 eV for the cell shown
* mass density: 5.50 g/cm³

The following is a DFT calculation (SCAN) of a PBEsol-optimized structure of PdCI2O.

The structure in CIF format:
```
data_PdCI2O
_symmetry_space_group_name_H-M 'P 4/m m m'
_symmetry_Int_Tables_number 123
_symmetry_space_group_name_Hall '-P 4 2'
_cell_length_a 5.430
_cell_length_b 5.430
_cell_length_c 3.028
_cell_angle_alpha 90.00
_cell_angle_beta 90.00
_cell_angle_gamma 90.00
loop_
_atom_site_label
_atom_site_type_symbol
_atom_site_fract_x
_atom_site_fract_y
_atom_site_fract_z
Pd1 Pd 0.000 0.000 0.000
C1 C 0.500 0.500 0.500
I1 I 0.000 0.500 0.500
O1 O 0.500 0.500 0.000
```

## Properties
* total energy: -117.1 eV for the cell shown
* mass density: 7.22 g/cm³

The following is a DFT calculation (SCAN) of a PBEsol-optimized structure of Al3SiPd4.

The structure in CIF format:
```
data_Al3SiPd4
_symmetry_space_group_name_H-M 'R 3'
_symmetry_Int_Tables_number 146
_symmetry_space_group_name_Hall 'R 3'
_cell_length_a 6.8679
_cell_length_b 6.8679
_cell_length_c 8.2663
_cell_angle_alpha 90.00
_cell_angle_beta 90.00
_cell_angle_gamma 120.00
loop_
_atom_site_label
_atom_site_type_symbol
_atom_site_fract_x
_atom_site_fract_y
_atom_site_fract_z
Al1 Al 0.0410 0.7747 0.0000
Si1 Si 0.0000 0.0000 0.5389
Pd1 Pd 0.0000 0.0000 0.2404
Pd2 Pd 0.1037 0.4021 0.4284
```

## Properties
* total energy: -516.0 eV for the cell shown
* mass density: 7.89 g/cm³

The following is a DFT calculation (SCAN) of a PBEsol-optimized structure of AlCr2B.

The structure in CIF format:
```
data_AlCr2B
_symmetry_space_group_name_H-M 'I -4 2 d'
_symmetry_Int_Tables_number 122
_symmetry_space_group_name_Hall 'I -4 2bw'
_cell_length_a 6.297
_cell_length_b 6.297
_cell_length_c 4.462
_cell_angle_alpha 90.00
_cell_angle_beta 90.00
_cell_angle_gamma 90.00
loop_
_atom_site_label
_atom_site_type_symbol
_atom_site_fract_x
_atom_site_fract_y
_atom_site_fract_z
Al1 Al 0.000 0.000 0.000
Cr1 Cr 0.192 0.250 0.625
B1 B 0.000 0.000 0.500
```

## Properties
* E_form: 0.299 eV/atom
* mass density: 5.32 g/cm³

- Look up the mass density of the fourth one.
  5.32 g/cm³

- Which of these has the lowest mass density?
  AlCr2B